Density functional theory data (GGA-PBE) for a geometry-optimized CsGeSe3 structure.

- ΔE_f (raw): 1193 meV per atom
- Size of the total moment: 0.00 μB per formula unit
- N(E_F): 0.967 states/eV per atom

Geometry as extended XYZ:
```
5
Lattice="-5.2145 -0.0665 2.5252 2.0369 -3.5365 4.1130 1.4941 4.5892 3.2061" Properties=species:S:1:pos:R:3 pbc="T T T"
Cs 0.0000 0.0000 0.0000
Ge -0.8418 0.4931 4.9221
Se 1.0184 -1.7682 2.0565
Se 0.7470 2.2946 1.6030
Se -2.6072 -0.0332 1.2626
```


Density functional theory data (GGA-PBE) for a geometry-optimized CsGe2Se structure.

- ΔE_f (raw): -131 meV per atom
- Size of the total moment: 0.00 μB per formula unit
- N(E_F): 0.573 states/eV per atom

Geometry as extended XYZ:
```
8
Lattice="-4.6107 -0.9145 -2.0931 2.1063 -3.5264 -3.0990 -2.9874 -9.3552 4.3432" Properties=species:S:1:pos:R:3 pbc="T T T"
Cs 0.0000 0.0000 0.0000
Cs -4.4251 -6.2450 -0.1730
Ge -2.4346 -3.1666 -0.1873
Ge -0.9374 -4.8417 -1.5352
Ge -2.7546 -9.3934 0.6849
Ge -4.8570 -10.1904 -0.6602
Se -1.2522 -2.2204 -2.5961
Se -1.0667 -7.5510 -0.6759
```


Density functional theory data (GGA-PBE) for a geometry-optimized Cs2GeSe structure.

- ΔE_f (raw): -78 meV per atom
- Size of the total moment: 2.00 μB per formula unit
- N(E_F): 1.438 states/eV per atom

Geometry as extended XYZ:
```
4
Lattice="-3.4952 -4.9731 -1.2276 -6.0164 0.6915 -1.3342 -2.0328 -1.0133 -5.7704" Properties=species:S:1:pos:R:3 pbc="T T T"
Cs -2.8861 -1.3237 -2.0830
Cs -8.6583 -3.9712 -6.2491
Ge 0.0000 0.0000 0.0000
Se -5.7722 -2.6475 -4.1661
```


Density functional theory data (GGA-PBE) for a geometry-optimized CsGe4Se7 structure.

- ΔE_f (raw): -383 meV per atom
- Size of the total moment: 0.00 μB per formula unit
- N(E_F): 0.304 states/eV per atom

Geometry as extended XYZ:
```
24
Lattice="7.3671 0.0000 0.0000 0.0000 6.6079 0.0000 0.0000 0.0000 15.8231" Properties=species:S:1:pos:R:3 pbc="T T T"
Cs 3.6875 5.4022 7.9115
Cs 0.0039 1.2057 0.0000
Ge 4.4526 4.7082 13.9103
Ge 0.7513 4.9876 3.9705
Ge 4.4348 1.6203 3.9410
Ge 0.7690 1.8997 9.8243
Ge 0.7690 1.8997 5.9987
Ge 4.4526 4.7082 1.9128
Ge 0.7513 4.9876 11.8525
Ge 4.4348 1.6203 11.8820
Se 6.8358 4.4906 1.8153
Se 3.1523 2.1173 6.0963
Se 3.3109 2.6112 13.9192
Se 6.9944 3.9967 9.8154
Se 6.9944 3.9967 6.0076
Se 3.3109 2.6112 1.9039
Se 3.6119 5.8702 11.9697
Se 7.2954 0.7377 11.7649
Se 7.2954 0.7377 4.0582
Se 3.6119 5.8702 3.8533
Se 3.7308 6.0212 0.0000
Se 0.0472 0.5867 7.9115
Se 6.8358 4.4906 14.0078
Se 3.1523 2.1173 9.7268
```